{"formula": "SmZrTe3", "functional": "PBE-GGA", "state": "relaxed", "cell": [[4.1452, 0.0000, 0.0000], [0.0000, 9.1797, 0.0000], [0.0000, 0.0000, 15.2732]], "species": ["Te", "Te", "Te", "Te", "Te", "Te", "Te", "Te", "Te", "Te", "Te", "Te", "Zr", "Zr", "Zr", "Zr", "Sm", "Sm", "Sm", "Sm"], "frac_coords": [[0.7500, 0.9701, 0.8679], [0.7500, 0.4701, 0.6321], [0.7500, 0.6972, 0.2062], [0.7500, 0.1972, 0.2938], [0.2500, 0.6505, 0.9897], [0.2500, 0.3028, 0.7938], [0.2500, 0.0299, 0.1321], [0.7500, 0.8495, 0.4897], [0.7500, 0.3495, 0.0103], [0.2500, 0.8028, 0.7062], [0.2500, 0.1505, 0.5103], [0.2500, 0.5299, 0.3679], [0.7500, 0.8627, 0.0401], [0.2500, 0.6373, 0.5401], [0.7500, 0.3627, 0.4599], [0.2500, 0.1373, 0.9599], [0.7500, 0.0884, 0.6680], [0.7500, 0.5884, 0.8320], [0.2500, 0.9116, 0.3320], [0.2500, 0.4116, 0.1680]], "total_magnetization_mub_per_atom": 0.0000, "total_energy_ev_per_atom": -5.612, "n_ef_per_ev_cell": 13.5, "vol_a3_per_fu": 145}